Entry 1:
# UV2H | Alexandria via LeMat-Bulk | PBE | relaxed
data_UV2H
_chemical_formula_sum 'U3 V6 H3'
_cell_length_a 2.8860
_cell_length_b 2.8860
_cell_length_c 20.7805
_cell_angle_alpha 90.00
_cell_angle_beta 90.00
_cell_angle_gamma 120.00
_space_group_name_H-M_alt 'R -3 m'
_space_group_IT_number 166
_space_group_name_Hall '-R 3 2"'
loop_
_atom_site_label
_atom_site_fract_x
_atom_site_fract_y
_atom_site_fract_z
U1 0.0000 0.0000 0.0000
V1 0.0000 0.0000 0.1196
H1 0.0000 0.0000 0.5000
# calculated density: 11.330 g cm⁻³
# size of the total moment: 0.000 Bohr magnetons per cell
# relative energy among the computed polymorphs: 0.0 meV/atom
# calculated volume: 12.49 Å³ per atom
# final energy: -7.9857 eV/atom

=====

Entry 2:
# UVH2 | Alexandria via LeMat-Bulk | PBE | relaxed
data_UVH2
_chemical_formula_sum 'U1 V1 H2'
_cell_length_a 2.7294
_cell_length_b 2.7294
_cell_length_c 5.2837
_cell_angle_alpha 90.00
_cell_angle_beta 90.00
_cell_angle_gamma 90.00
_space_group_name_H-M_alt 'P 4/m m m'
_space_group_IT_number 123
_space_group_name_Hall '-P 4 2'
loop_
_atom_site_label
_atom_site_fract_x
_atom_site_fract_y
_atom_site_fract_z
U1 0.0000 0.0000 0.0000
V1 0.0000 0.0000 0.5000
H1 0.5000 0.5000 0.3078
# calculated density: 12.275 g cm⁻³
# size of the total moment: 0.001 Bohr magnetons per cell
# relative energy among the computed polymorphs: 503.0 meV/atom
# calculated volume: 9.84 Å³ per atom
# final energy: -6.3658 eV/atom

=====

Entry 3:
# U3V5H12 | Alexandria via LeMat-Bulk | PBE | relaxed
data_U3V5H12
_chemical_formula_sum 'U24 V40 H96'
_cell_length_a 11.3614
_cell_length_b 11.3614
_cell_length_c 11.3614
_cell_angle_alpha 90.00
_cell_angle_beta 90.00
_cell_angle_gamma 90.00
_space_group_name_H-M_alt 'I a -3 d'
_space_group_IT_number 230
_space_group_name_Hall '-I 4bd 2c 3'
loop_
_atom_site_label
_atom_site_fract_x
_atom_site_fract_y
_atom_site_fract_z
U1 0.0000 0.2500 0.1250
V1 0.0000 0.0000 0.0000
V2 0.0000 0.2500 0.3750
H1 0.0263 0.0605 0.6433
# calculated density: 8.885 g cm⁻³
# size of the total moment: 21.730 Bohr magnetons per cell
# calculated volume: 9.17 Å³ per atom
# final energy: -6.0626 eV/atom

=====

Entry 4:
# UVH2 | Alexandria via LeMat-Bulk | PBE | relaxed
data_UVH2
_chemical_formula_sum 'U1 V1 H2'
_cell_length_a 3.8757
_cell_length_b 3.8757
_cell_length_c 2.8114
_cell_angle_alpha 90.00
_cell_angle_beta 90.00
_cell_angle_gamma 90.00
_space_group_name_H-M_alt 'P 4/m m m'
_space_group_IT_number 123
_space_group_name_Hall '-P 4 2'
loop_
_atom_site_label
_atom_site_fract_x
_atom_site_fract_y
_atom_site_fract_z
U1 0.0000 0.0000 0.0000
V1 0.5000 0.5000 0.0000
H1 0.0000 0.5000 0.5000
# calculated density: 11.442 g cm⁻³
# size of the total moment: 1.623 Bohr magnetons per cell
# relative energy among the computed polymorphs: 509.6 meV/atom
# calculated volume: 10.56 Å³ per atom
# final energy: -6.3592 eV/atom

=====

Entry 5:
# UVH3 | Alexandria via LeMat-Bulk | PBE | relaxed
data_UVH3
_chemical_formula_sum 'U4 V4 H12'
_cell_length_a 6.4226
_cell_length_b 4.9013
_cell_length_c 6.0411
_cell_angle_alpha 90.00
_cell_angle_beta 110.76
_cell_angle_gamma 90.00
_space_group_name_H-M_alt 'P 1 21/c 1'
_space_group_IT_number 14
loop_
_space_group_symop_operation_xyz
'x,y,z'
'-x,-y,-z'
'-x,y+1/2,-z+1/2'
'x,-y+1/2,z+1/2'
loop_
_atom_site_label
_atom_site_fract_x
_atom_site_fract_y
_atom_site_fract_z
U1 0.0981 0.2064 0.1151
V1 0.4211 0.7463 0.3847
H1 0.1454 0.6323 0.2150
H2 0.3239 0.0582 0.4761
H3 0.3988 0.5412 0.6260
# calculated density: 10.906 g cm⁻³
# size of the total moment: 0.004 Bohr magnetons per cell
# relative energy among the computed polymorphs: 0.0 meV/atom
# calculated volume: 8.89 Å³ per atom
# final energy: -6.1997 eV/atom

=====

Entry 6:
# UV2H | Alexandria via LeMat-Bulk | PBE | relaxed
data_UV2H
_chemical_formula_sum 'U1 V2 H1'
_cell_length_a 3.2450
_cell_length_b 3.2450
_cell_length_c 5.2330
_cell_angle_alpha 90.00
_cell_angle_beta 90.00
_cell_angle_gamma 90.00
_space_group_name_H-M_alt 'P 4/m m m'
_space_group_IT_number 123
_space_group_name_Hall '-P 4 2'
loop_
_atom_site_label
_atom_site_fract_x
_atom_site_fract_y
_atom_site_fract_z
U1 0.0000 0.0000 0.0000
V1 0.5000 0.5000 0.2549
H1 0.0000 0.0000 0.5000
# calculated density: 10.273 g cm⁻³
# size of the total moment: 2.098 Bohr magnetons per cell
# relative energy among the computed polymorphs: 526.1 meV/atom
# calculated volume: 13.78 Å³ per atom
# final energy: -7.4596 eV/atom

=====

Entry 7:
# UZnH2 | Alexandria via LeMat-Bulk | PBE | relaxed
data_UZnH2
_chemical_formula_sum 'U3 Zn3 H6'
_cell_length_a 3.0575
_cell_length_b 3.0575
_cell_length_c 18.2202
_cell_angle_alpha 90.00
_cell_angle_beta 90.00
_cell_angle_gamma 120.00
_space_group_name_H-M_alt 'R -3 m'
_space_group_IT_number 166
_space_group_name_Hall '-R 3 2"'
loop_
_atom_site_label
_atom_site_fract_x
_atom_site_fract_y
_atom_site_fract_z
U1 0.0000 0.0000 0.0000
Zn1 0.0000 0.0000 0.5000
H1 0.0000 0.0000 0.4039
# calculated density: 10.316 g cm⁻³
# size of the total moment: 5.494 Bohr magnetons per cell
# calculated volume: 12.29 Å³ per atom
# final energy: -4.7366 eV/atom

=====

Entry 8:
# Zr2UH | Alexandria via LeMat-Bulk | PBE | relaxed
data_Zr2UH
_chemical_formula_sum 'Zr2 U1 H1'
_cell_length_a 2.9393
_cell_length_b 2.9393
_cell_length_c 8.0314
_cell_angle_alpha 90.00
_cell_angle_beta 90.00
_cell_angle_gamma 90.00
_space_group_name_H-M_alt 'P 4/m m m'
_space_group_IT_number 123
_space_group_name_Hall '-P 4 2'
loop_
_atom_site_label
_atom_site_fract_x
_atom_site_fract_y
_atom_site_fract_z
Zr1 0.0000 0.0000 0.1875
U1 0.5000 0.5000 0.5000
H1 0.5000 0.5000 0.0000
# calculated density: 10.087 g cm⁻³
# size of the total moment: 0.000 Bohr magnetons per cell
# relative energy among the computed polymorphs: 0.0 meV/atom
# calculated volume: 17.35 Å³ per atom
# final energy: -7.6702 eV/atom

=====

Entry 9:
# Zr5U3H12 | Alexandria via LeMat-Bulk | PBE | relaxed
data_Zr5U3H12
_chemical_formula_sum 'Zr40 U24 H96'
_cell_length_a 12.3060
_cell_length_b 12.3060
_cell_length_c 12.3060
_cell_angle_alpha 90.00
_cell_angle_beta 90.00
_cell_angle_gamma 90.00
_space_group_name_H-M_alt 'I a -3 d'
_space_group_IT_number 230
_space_group_name_Hall '-I 4bd 2c 3'
loop_
_atom_site_label
_atom_site_fract_x
_atom_site_fract_y
_atom_site_fract_z
Zr1 0.0000 0.0000 0.0000
Zr2 0.0000 0.2500 0.3750
U1 0.0000 0.2500 0.1250
H1 0.0100 0.0704 0.6510
# calculated density: 8.428 g cm⁻³
# size of the total moment: 54.572 Bohr magnetons per cell
# calculated volume: 11.65 Å³ per atom
# final energy: -6.1160 eV/atom

=====

Entry 10:
# Zr2UH | Alexandria via LeMat-Bulk | PBE | relaxed
data_Zr2UH
_chemical_formula_sum 'Zr6 U3 H3'
_cell_length_a 3.0465
_cell_length_b 3.0465
_cell_length_c 28.8975
_cell_angle_alpha 90.00
_cell_angle_beta 90.00
_cell_angle_gamma 120.00
_space_group_name_H-M_alt 'R -3 m'
_space_group_IT_number 166
_space_group_name_Hall '-R 3 2"'
loop_
_atom_site_label
_atom_site_fract_x
_atom_site_fract_y
_atom_site_fract_z
Zr1 0.0000 0.0000 0.0650
U1 0.0000 0.0000 0.5000
H1 0.0000 0.0000 0.0000
# calculated density: 9.040 g cm⁻³
# size of the total moment: 6.732 Bohr magnetons per cell
# relative energy among the computed polymorphs: 91.5 meV/atom
# calculated volume: 19.36 Å³ per atom
# final energy: -7.5787 eV/atom

=====

Entry 11:
# ZrUH4 | Alexandria via LeMat-Bulk | PBE | relaxed
data_ZrUH4
_chemical_formula_sum 'Zr4 U4 H16'
_cell_length_a 4.8311
_cell_length_b 5.1509
_cell_length_c 10.0460
_cell_angle_alpha 90.00
_cell_angle_beta 90.00
_cell_angle_gamma 90.00
_space_group_name_H-M_alt 'I m m a'
_space_group_IT_number 74
_space_group_name_Hall '-I 2b 2'
loop_
_atom_site_label
_atom_site_fract_x
_atom_site_fract_y
_atom_site_fract_z
Zr1 0.0000 0.2500 0.1238
U1 0.0000 0.2500 0.6267
H1 0.2297 0.0000 0.0000
H2 0.2500 0.0270 0.2500
# calculated density: 8.855 g cm⁻³
# size of the total moment: 11.560 Bohr magnetons per cell
# calculated volume: 10.42 Å³ per atom
# final energy: -5.8944 eV/atom

=====

Entry 12:
# V5H | Alexandria via LeMat-Bulk | PBE | relaxed
data_V5H
_chemical_formula_sum 'V10 H2'
_cell_length_a 2.9070
_cell_length_b 12.1962
_cell_length_c 4.0867
_cell_angle_alpha 90.00
_cell_angle_beta 90.00
_cell_angle_gamma 90.00
_space_group_name_H-M_alt 'C m m m'
_space_group_IT_number 65
_space_group_name_Hall '-C 2 2'
loop_
_atom_site_label
_atom_site_fract_x
_atom_site_fract_y
_atom_site_fract_z
V1 0.0000 0.0000 0.0000
V2 0.0000 0.1431 0.5000
V3 0.0000 0.3306 0.0000
H1 0.0000 0.5000 0.5000
# calculated density: 5.861 g cm⁻³
# size of the total moment: 0.000 Bohr magnetons per cell
# calculated volume: 12.07 Å³ per atom
# final energy: -7.8293 eV/atom

=====

Entry 13:
# VH5 | Alexandria via LeMat-Bulk | PBE | relaxed
data_VH5
_chemical_formula_sum 'V2 H10'
_cell_length_a 2.7030
_cell_length_b 9.3017
_cell_length_c 2.7062
_cell_angle_alpha 90.00
_cell_angle_beta 90.00
_cell_angle_gamma 90.00
_space_group_name_H-M_alt 'C m m m'
_space_group_IT_number 65
_space_group_name_Hall '-C 2 2'
loop_
_atom_site_label
_atom_site_fract_x
_atom_site_fract_y
_atom_site_fract_z
V1 0.0000 0.0000 0.0000
H1 0.0000 0.1308 0.5000
H2 0.0000 0.3687 0.0000
H3 0.0000 0.5000 0.5000
# calculated density: 2.732 g cm⁻³
# size of the total moment: 0.000 Bohr magnetons per cell
# calculated volume: 5.67 Å³ per atom
# final energy: -4.1326 eV/atom

=====

Entry 14:
# VH | Alexandria via LeMat-Bulk | PBE | relaxed
data_VH
_chemical_formula_sum 'V4 H4'
_cell_length_a 3.1850
_cell_length_b 4.4596
_cell_length_c 4.4835
_cell_angle_alpha 90.00
_cell_angle_beta 90.00
_cell_angle_gamma 90.00
_space_group_name_H-M_alt 'C c c m'
_space_group_IT_number 66
_space_group_name_Hall '-C 2 2c'
loop_
_atom_site_label
_atom_site_fract_x
_atom_site_fract_y
_atom_site_fract_z
V1 0.2500 0.2500 0.0000
H1 0.0000 0.0000 0.2500
# calculated density: 5.418 g cm⁻³
# size of the total moment: 0.000 Bohr magnetons per cell
# calculated volume: 7.96 Å³ per atom
# final energy: -6.4386 eV/atom

=====

Entry 15:
# VH | Alexandria via LeMat-Bulk | PBE | relaxed
data_VH
_chemical_formula_sum 'V2 H2'
_cell_length_a 2.7110
_cell_length_b 2.7110
_cell_length_c 5.0210
_cell_angle_alpha 90.00
_cell_angle_beta 90.00
_cell_angle_gamma 120.00
_space_group_name_H-M_alt 'P 63/m m c'
_space_group_IT_number 194
_space_group_name_Hall '-P 6c 2c'
loop_
_atom_site_label
_atom_site_fract_x
_atom_site_fract_y
_atom_site_fract_z
V1 0.0000 0.0000 0.0000
H1 0.3333 0.6667 0.2500
# calculated density: 5.399 g cm⁻³
# size of the total moment: 0.002 Bohr magnetons per cell
# calculated volume: 7.99 Å³ per atom
# final energy: -6.1235 eV/atom

=====

Entry 16:
# V6H5 | Alexandria via LeMat-Bulk | PBE | relaxed
data_V6H5
_chemical_formula_sum 'V12 H10'
_cell_length_a 5.0560
_cell_length_b 7.9772
_cell_length_c 5.0259
_cell_angle_alpha 90.00
_cell_angle_beta 116.40
_cell_angle_gamma 90.00
_space_group_name_H-M_alt 'C 1 2/m 1'
_space_group_IT_number 12
loop_
_space_group_symop_operation_xyz
'x,y,z'
'-x,-y,-z'
'-x,y,-z'
'x,-y,z'
'x+1/2,y+1/2,z'
'-x+1/2,-y+1/2,-z'
'-x+1/2,y+1/2,-z'
'x+1/2,-y+1/2,z'
loop_
_atom_site_label
_atom_site_fract_x
_atom_site_fract_y
_atom_site_fract_z
V1 0.2411 0.1617 0.2407
V2 0.2489 0.0000 0.7424
H1 0.0000 0.1704 0.5000
H2 0.0000 0.3343 0.0000
H3 0.0000 0.5000 0.5000
# calculated density: 5.683 g cm⁻³
# size of the total moment: 0.000 Bohr magnetons per cell
# calculated volume: 8.25 Å³ per atom
# final energy: -6.6513 eV/atom

=====

Entry 17:
# VH | Alexandria via LeMat-Bulk | PBE | relaxed
data_VH
_chemical_formula_sum 'V8 H8'
_cell_length_a 7.4273
_cell_length_b 7.4273
_cell_length_c 2.8672
_cell_angle_alpha 90.00
_cell_angle_beta 90.00
_cell_angle_gamma 90.00
_space_group_name_H-M_alt 'I 4/m'
_space_group_IT_number 87
_space_group_name_Hall '-I 4'
loop_
_atom_site_label
_atom_site_fract_x
_atom_site_fract_y
_atom_site_fract_z
V1 0.1166 0.3332 0.0000
H1 0.1087 0.7676 0.0000
# calculated density: 4.363 g cm⁻³
# size of the total moment: 0.000 Bohr magnetons per cell
# calculated volume: 9.89 Å³ per atom
# final energy: -6.1817 eV/atom

=====

Entry 18:
# V4H | Alexandria via LeMat-Bulk | PBE | relaxed
data_V4H
_chemical_formula_sum 'V16 H4'
_cell_length_a 6.1161
_cell_length_b 6.1161
_cell_length_c 6.0654
_cell_angle_alpha 90.00
_cell_angle_beta 90.00
_cell_angle_gamma 90.00
_space_group_name_H-M_alt 'I 41/a m d'
_space_group_IT_number 141
loop_
_space_group_symop_operation_xyz
'x,y,z'
'-x,-y,-z'
'-y+1/4,x+3/4,z+1/4'
'y+1/4,-x+3/4,-z+1/4'
'-x+1/2,-y,z+1/2'
'x+1/2,y,-z+1/2'
'y+1/4,-x+1/4,z+3/4'
'-y+1/4,x+1/4,-z+3/4'
'x,-y,-z'
'-x,y,z'
'-y+1/4,-x+1/4,-z+3/4'
'y+1/4,x+1/4,z+3/4'
'-x+1/2,y,-z+1/2'
'x+1/2,-y,z+1/2'
'y+1/4,x+3/4,-z+1/4'
'-y+1/4,-x+3/4,z+1/4'
'x+1/2,y+1/2,z+1/2'
'-x+1/2,-y+1/2,-z+1/2'
'-y+3/4,x+1/4,z+3/4'
'y+3/4,-x+1/4,-z+3/4'
'-x,-y+1/2,z'
'x,y+1/2,-z'
'y+3/4,-x+3/4,z+1/4'
'-y+3/4,x+3/4,-z+1/4'
'x+1/2,-y+1/2,-z+1/2'
'-x+1/2,y+1/2,z+1/2'
'-y+3/4,-x+3/4,-z+1/4'
'y+3/4,x+3/4,z+1/4'
'-x,y+1/2,-z'
'x,-y+1/2,z'
'y+3/4,x+1/4,-z+3/4'
'-y+3/4,-x+1/4,z+3/4'
loop_
_atom_site_label
_atom_site_fract_x
_atom_site_fract_y
_atom_site_fract_z
V1 0.0000 0.0091 0.2576
H1 0.0000 0.2500 0.8750
# calculated density: 5.995 g cm⁻³
# size of the total moment: 0.000 Bohr magnetons per cell
# relative energy among the computed polymorphs: 0.0 meV/atom
# calculated volume: 11.34 Å³ per atom
# final energy: -8.0482 eV/atom